A plane-wave DFT calculation with PBE was carried out for crystalline CsNdSeO at its relaxed geometry.

a = 6.0001 Å, b = 5.9972 Å, c = 13.3390 Å
α = 90.00°, β = 102.09°, γ = 90.00°
Closest atoms and distances in Å follow each position.
Space group P2_1 (No. 4)
Symmetry-distinct sites (fractional):
Cs 0.0843 0.0000 0.1204  4 Se 3.41-3.43
Cs 0.4130 0.9937 0.8801  4 Se 3.41-3.43
Nd 0.0371 0.2332 0.5836  4 O 2.38-2.39
Nd 0.4628 0.2332 0.4165  4 O 2.38-2.39
Se 0.1482 0.4990 0.2460  2 Nd 3.07-3.08, 1 O 3.32, 4 Cs 3.41-3.43
Se 0.3550 0.4946 0.7541  2 Nd 3.07-3.08, 1 O 3.32, 4 Cs 3.41-3.43
O 0.2501 0.4816 0.5000  4 Nd 2.38-2.39
O 0.2499 0.9825 0.5000  4 Nd 2.38-2.39

E = -5.672 eV/atom
energy relative to the lowest polymorph listed for this composition = 0 meV per atom
total magnetic moment = 0.00 μB per formula unit